This record from Alexandria via LeMat-Bulk describes a geometry-optimized PrEu2Tl structure. The functional is PBE.

## Properties
Calculated volume (Å³ per cell): 140.7
ΔE_f (eV per atom): -0.16
Energy (eV per cell): -28.32
ΔE to the lowest computed polymorph (eV/atom): 0.018
D(E_F) (states/eV per atom): 3.15

Structure (CIF):
```
data_PrEu2Tl
_symmetry_space_group_name_H-M 'P 4/m m m'
_symmetry_Int_Tables_number 123
_symmetry_space_group_name_Hall '-P 4 2'
_cell_length_a 3.777
_cell_length_b 3.777
_cell_length_c 9.862
_cell_angle_alpha 90.00
_cell_angle_beta 90.00
_cell_angle_gamma 90.00
loop_
_atom_site_label
_atom_site_type_symbol
_atom_site_fract_x
_atom_site_fract_y
_atom_site_fract_z
Pr1 Pr 0.000 0.000 0.000
Eu1 Eu 0.500 0.500 0.283
Tl1 Tl 0.000 0.000 0.500
```

=====

This record from Alexandria via LeMat-Bulk describes a geometry-optimized PrEu2Tl structure. The functional is PBE.

## Properties
Calculated volume (Å³ per cell): 438.4
ΔE_f (eV per atom): 0.03
Energy (eV per cell): -82.75
ΔE to the lowest computed polymorph (eV/atom): 0.202
D(E_F) (states/eV per atom): 0.88

Structure (CIF):
```
data_PrEu2Tl
_symmetry_space_group_name_H-M 'R -3 m'
_symmetry_Int_Tables_number 166
_symmetry_space_group_name_Hall '-R 3 2"'
_cell_length_a 3.6975
_cell_length_b 3.6975
_cell_length_c 37.0234
_cell_angle_alpha 90.00
_cell_angle_beta 90.00
_cell_angle_gamma 120.00
loop_
_atom_site_label
_atom_site_type_symbol
_atom_site_fract_x
_atom_site_fract_y
_atom_site_fract_z
Pr1 Pr 0.0000 0.0000 0.0000
Eu1 Eu 0.0000 0.0000 0.0958
Tl1 Tl 0.0000 0.0000 0.5000
```

=====

This record from Alexandria via LeMat-Bulk describes a geometry-optimized PrEuTlZn structure. The functional is PBE.

## Properties
Calculated volume (Å³ per cell): 460.2
ΔE_f (eV per atom): -0.33
Energy (eV per cell): -80.00
D(E_F) (states/eV per atom): 1.97

Structure (CIF):
```
data_PrEuTlZn
_symmetry_space_group_name_H-M 'F -4 3 m'
_symmetry_Int_Tables_number 216
_symmetry_space_group_name_Hall 'F -4 2 3'
_cell_length_a 7.720
_cell_length_b 7.720
_cell_length_c 7.720
_cell_angle_alpha 90.00
_cell_angle_beta 90.00
_cell_angle_gamma 90.00
loop_
_atom_site_label
_atom_site_type_symbol
_atom_site_fract_x
_atom_site_fract_y
_atom_site_fract_z
Pr1 Pr 0.000 0.000 0.000
Eu1 Eu 0.000 0.000 0.500
Tl1 Tl 0.250 0.250 0.750
Zn1 Zn 0.250 0.250 0.250
```

=====

This record from Alexandria via LeMat-Bulk describes a geometry-optimized PrEuTm structure. The functional is PBE.

## Properties
Calculated volume (Å³ per cell): 212.5
ΔE_f (eV per atom): 0.05
Energy (eV per cell): -38.74
D(E_F) (states/eV per atom): 1.25

Structure (CIF):
```
data_PrEuTm
_symmetry_space_group_name_H-M 'I 4 m m'
_symmetry_Int_Tables_number 107
_symmetry_space_group_name_Hall 'I 4 -2'
_cell_length_a 3.705
_cell_length_b 3.705
_cell_length_c 15.488
_cell_angle_alpha 90.00
_cell_angle_beta 90.00
_cell_angle_gamma 90.00
loop_
_atom_site_label
_atom_site_type_symbol
_atom_site_fract_x
_atom_site_fract_y
_atom_site_fract_z
Pr1 Pr 0.000 0.000 0.000
Eu1 Eu 0.000 0.000 0.322
Tm1 Tm 0.000 0.000 0.651
```